Record 1
DFT (PBE-GGA) results for crystalline LiMgBRh2 at its relaxed geometry.

Energy relative to the elements in eV per atom: -0.25
SG: P4/mmm
Energy relative to the lowest polymorph listed for this composition in meV per atom: 162
Total magnetic moment in μB per cell: 0.000
DOS(E_F) in states/eV/atom: 0.504

a b c (Å): 4.081 4.081 4.347
angles (deg): 90.00 90.00 90.00
Element x y z (fractional)
Mg  0.000  0.000  0.500
B  0.000  0.000  0.000
Rh  0.000  0.500  0.000
Rh  0.500  0.000  0.000
Li  0.500  0.500  0.500

=====

Record 2
DFT (PBE-GGA) results for crystalline DyErCu3 at its relaxed geometry.

Energy relative to the elements in eV per atom: -0.26
SG: Cmcm
Total magnetic moment in μB per cell: 0.000
DOS(E_F) in states/eV/atom: 0.701

a b c (Å): 3.567 4.286 12.841
angles (deg): 90.00 97.99 90.00
Element x y z (fractional)
Dy  0.928  0.750  0.857
Dy  0.072  0.250  0.143
Er  0.205  0.750  0.409
Er  0.795  0.250  0.591
Cu  0.618  0.750  0.237
Cu  0.382  0.250  0.763
Cu  0.523  0.750  0.046
Cu  0.477  0.250  0.954
Cu  0.672  0.250  0.344
Cu  0.328  0.750  0.656

=====

Record 3
DFT (PBE-GGA) results for crystalline Pm4Sb3Se at its relaxed geometry.

Uncorrected formation energy in eV per atom: -1.3650
SG: P2/c
Total magnetic moment in μB per cell: 0.000
DOS(E_F) in states/eV/atom: 0.074

a b c (Å): 7.663 7.659 8.872
angles (deg): 90.00 90.00 109.51
Element x y z (fractional)
Sb  0.750  0.000  0.374
Sb  0.250  0.000  0.626
Sb  0.750  0.500  0.626
Sb  0.750  0.500  0.124
Sb  0.250  0.500  0.374
Sb  0.250  0.500  0.876
Se  0.750  0.000  0.877
Se  0.250  0.000  0.123
Pm  0.997  0.248  0.628
Pm  0.501  0.245  0.878
Pm  0.497  0.248  0.372
Pm  0.001  0.245  0.122
Pm  0.999  0.755  0.878
Pm  0.503  0.752  0.628
Pm  0.499  0.755  0.122
Pm  0.003  0.752  0.372

=====

Record 4
DFT (PBE-GGA) results for crystalline Ti2Zn2Pd at its relaxed geometry.

Energy relative to the elements in eV per atom: 0.06
SG: P4/mbm
Energy relative to the lowest polymorph listed for this composition in meV per atom: 355
Total magnetic moment in μB per cell: 0.000
DOS(E_F) in states/eV/atom: 1.029

a b c (Å): 7.655 7.655 2.774
angles (deg): 90.00 90.00 90.00
Element x y z (fractional)
Zn  0.173  0.673  0.500
Zn  0.673  0.827  0.500
Zn  0.827  0.327  0.500
Zn  0.327  0.173  0.500
Pd  0.000  0.000  0.000
Pd  0.500  0.500  0.000
Ti  0.375  0.875  0.000
Ti  0.875  0.625  0.000
Ti  0.625  0.125  0.000
Ti  0.125  0.375  0.000

=====

Record 5
DFT (PBE-GGA) results for crystalline AlHg2As at its relaxed geometry.

Energy relative to the elements in eV per atom: 0.25
SG: I-4m2
Energy relative to the lowest polymorph listed for this composition in meV per atom: 280
Total magnetic moment in μB per cell: 0.000
DOS(E_F) in states/eV/atom: 0.306

a b c (Å): 5.044 5.044 5.044
angles (deg): 121.44 121.44 87.52
Element x y z (fractional)
As  0.750  0.250  0.500
Hg  0.000  0.000  0.000
Hg  0.250  0.750  0.500
Al  0.500  0.500  0.000

=====

Record 6
DFT (PBE-GGA) results for crystalline Ac5CoN2 at its relaxed geometry.

Uncorrected formation energy in eV per atom: -0.4136
SG: Cmcm
Total magnetic moment in μB per cell: 0.000
DOS(E_F) in states/eV/atom: 0.673

a b c (Å): 4.968 7.611 14.898
angles (deg): 90.00 90.00 109.05
Element x y z (fractional)
Ac  0.933  0.866  0.883
Ac  0.933  0.866  0.617
Ac  0.328  0.657  0.438
Ac  0.328  0.657  0.062
Ac  0.763  0.525  0.250
Ac  0.237  0.475  0.750
Ac  0.672  0.343  0.562
Ac  0.672  0.343  0.938
Ac  0.067  0.134  0.117
Ac  0.067  0.134  0.383
Co  0.788  0.576  0.750
Co  0.212  0.424  0.250
N  0.831  0.662  0.491
N  0.831  0.662  0.009
N  0.169  0.338  0.509
N  0.169  0.338  0.991

=====

Record 7
DFT (PBE-GGA) results for crystalline LiCoHRh2 at its relaxed geometry.

SG: P4/mmm
Energy relative to the lowest polymorph listed for this composition in meV per atom: 0
Total magnetic moment in μB per cell: 2.344
DOS(E_F) in states/eV/atom: 1.554

a b c (Å): 3.906 3.906 3.479
angles (deg): 90.00 90.00 90.00
Each line ends with the local moment (μB).
Element x y z (fractional)
Co  0.500  0.500  0.500  1.73
Rh  0.000  0.500  0.000  0.32
Rh  0.500  0.000  0.000  0.32
H  0.000  0.000  0.000  0.00
Li  0.000  0.000  0.500  -0.02

=====

Record 8
DFT (PBE-GGA) results for crystalline ReC2Cl at its relaxed geometry.

Uncorrected formation energy in eV per atom: 1.2861
SG: I-42d
Energy relative to the lowest polymorph listed for this composition in meV per atom: 0
Total magnetic moment in μB per cell: 0.000
DOS(E_F) in states/eV/atom: 0.737

a b c (Å): 5.470 5.470 6.100
angles (deg): 63.36 63.36 90.00
Element x y z (fractional)
Re  0.000  0.000  0.000
Re  0.750  0.250  0.500
C  0.765  0.125  0.250
C  0.985  0.625  0.250
C  0.375  0.235  0.750
C  0.875  0.015  0.750
Cl  0.500  0.500  0.000
Cl  0.250  0.750  0.500